(1)
First-principles (PBE-GGA) data for a relaxed structure of Ca3Pa2MoN6, as listed in Alexandria.

The value obtained for the total energy is -8.387 eV/atom. The calculation puts the uncorrected formation energy at -1.2392 eV/atom.

It has space group C2/m (No. 12), with a = 5.9182 Å, b = 10.2548 Å, c = 5.9937 Å, α = 90.00°, β = 108.92° and γ = 90.00°. The distinct sites, in fractional coordinates, are Ca at (0.0000, 0.0000, 0.0000), Ca at (0.0000, 0.3397, 0.0000), Pa at (0.0000, 0.1671, 0.5000), Mo at (0.0000, 0.5000, 0.5000), N at (0.2386, 0.3339, 0.7179) and N at (0.2400, 0.0000, 0.7190).


(2)
First-principles (PBE-GGA) data for a relaxed structure of DyHoSe2, as listed in Alexandria.

As for the offset from the most stable computed form: 0 meV/atom. The value obtained for the total energy is -5.772 eV/atom. The calculation puts the uncorrected formation energy at -1.7347 eV/atom.

It has space group R3m (No. 160, hexagonal axes), with a = 3.9594 Å, b = 3.9594 Å, c = 21.2345 Å, α = 90.00°, β = 90.00° and γ = 120.00°. The distinct sites, in fractional coordinates, are Dy at (0.0000, 0.0000, 0.0000), Ho at (0.0000, 0.0000, 0.8230), Se at (0.0000, 0.0000, 0.2431) and Se at (0.0000, 0.0000, 0.4136).


(3)
First-principles (PBE-GGA) data for a relaxed structure of Ce2TlBi4, as listed in Alexandria.

The value obtained for the total energy is -4.687 eV/atom. The value obtained for the formation enthalpy at 0 K is -0.4362 eV per atom.

It has space group P-4m2 (No. 115), with a = 4.5545 Å, b = 4.5545 Å, c = 11.2756 Å, α = 90.00°, β = 90.00° and γ = 90.00°. The distinct sites, in fractional coordinates, are Ce at (0.0000, 0.5000, 0.2277), Tl at (0.0000, 0.0000, 0.5000), Bi at (0.0000, 0.0000, 0.0000), Bi at (0.0000, 0.5000, 0.7080) and Bi at (0.5000, 0.5000, 0.0000).


(4)
First-principles (PBE-GGA) data for a relaxed structure of ScAlV, as listed in Alexandria.

As for the offset from the most stable computed form: 255 meV/atom. The value obtained for the total energy is -6.391 eV/atom. The value obtained for the formation enthalpy at 0 K is 0.0069 eV per atom.

It has space group P-6m2 (No. 187), with a = 4.5930 Å, b = 4.5930 Å, c = 2.7713 Å, α = 90.00°, β = 90.00° and γ = 120.00°. The distinct sites, in fractional coordinates, are Sc at (0.0000, 0.0000, 0.0000), Al at (0.6667, 0.3333, 0.5000) and V at (0.3333, 0.6667, 0.0000).


(5)
First-principles (PBE-GGA) data for a relaxed structure of KC2, as listed in Alexandria.

As for the offset from the most stable computed form: 1487 meV/atom. The value obtained for the total energy is -4.523 eV/atom. The value obtained for the formation enthalpy at 0 K is 1.9916 eV per atom.

It has space group Cmmm (No. 65), with a = 3.3872 Å, b = 18.7648 Å, c = 3.2639 Å, α = 90.00°, β = 90.00° and γ = 90.00°. The distinct sites, in fractional coordinates, are K at (0.0000, 0.1307, 0.0000), C at (0.0000, 0.0000, 0.5000), C at (0.0000, 0.4593, 0.5000) and C at (0.0000, 0.5000, 0.0000).


(6)
First-principles (PBE-GGA) data for a relaxed structure of RbMg14Ni, as listed in Alexandria.

As for the offset from the most stable computed form: 0 meV/atom. The value obtained for the total energy is -1.666 eV/atom. The value obtained for the formation enthalpy at 0 K is 0.1511 eV per atom.

It has space group Amm2 (No. 38), with a = 10.5999 Å, b = 6.3299 Å, c = 11.3509 Å, α = 90.00°, β = 90.00° and γ = 90.00°. The distinct sites, in fractional coordinates, are Rb at (0.0000, 0.0000, 0.0000), Mg at (0.0000, 0.2434, 0.2497), Mg at (0.2062, 0.0000, 0.6135), Mg at (0.2532, 0.2433, 0.3757), Mg at (0.2742, 0.0000, 0.1332), Mg at (0.5000, 0.0000, 0.4639), Mg at (0.5000, 0.0000, 0.9596), Mg at (0.5000, 0.2419, 0.7139) and Ni at (0.0000, 0.0000, 0.4380).


(7)
First-principles (PBE-GGA) data for a relaxed structure of KHg3Pt, as listed in Alexandria.

As for the offset from the most stable computed form: 122 meV/atom. The value obtained for the total energy is -1.756 eV/atom. The value obtained for the formation enthalpy at 0 K is -0.1470 eV per atom.

It has space group Imma (No. 74), with a = 5.8857 Å, b = 13.3735 Å, c = 6.7087 Å, α = 90.00°, β = 90.00° and γ = 90.00°. The distinct sites, in fractional coordinates, are K at (0.0000, 0.0000, 0.0000), Hg at (0.0000, 0.1191, 0.4964), Hg at (0.0000, 0.2500, 0.1133) and Pt at (0.2500, 0.2500, 0.7500).


(8)
First-principles (PBE-GGA) data for a relaxed structure of YbCl3, as listed in Alexandria.

The value obtained for the total energy is -3.560 eV/atom. The calculation puts the uncorrected formation energy at -1.7931 eV/atom.

It has space group Cmcm (No. 63), with a = 3.8263 Å, b = 12.7095 Å, c = 8.4692 Å, α = 90.00°, β = 90.00° and γ = 90.00°. The distinct sites, in fractional coordinates, are Yb at (0.0000, 0.2449, 0.2500), Cl at (0.0000, 0.1499, 0.5675) and Cl at (0.0000, 0.4030, 0.7500).


(9)
First-principles (PBE-GGA) data for a relaxed structure of PmSm2Dy4Mg, as listed in Alexandria.

The value obtained for the total energy is -4.250 eV/atom. The value obtained for the formation enthalpy at 0 K is 0.0242 eV per atom.

It has space group P4/mmm (No. 123), with a = 4.9782 Å, b = 4.9782 Å, c = 10.1571 Å, α = 90.00°, β = 90.00° and γ = 90.00°. The distinct sites, in fractional coordinates, are Pm at (0.0000, 0.0000, 0.0000), Sm at (0.0000, 0.0000, 0.5000), Sm at (0.5000, 0.5000, 0.0000), Dy at (0.0000, 0.5000, 0.2533) and Mg at (0.5000, 0.5000, 0.5000).


(10)
First-principles (PBE-GGA) data for a relaxed structure of K2CdAgHg, as listed in Alexandria.

As for the offset from the most stable computed form: 0 meV/atom. The value obtained for the total energy is -1.222 eV/atom. The value obtained for the formation enthalpy at 0 K is 0.0311 eV per atom.

It has space group P4/mmm (No. 123), with a = 6.3274 Å, b = 6.3274 Å, c = 5.4109 Å, α = 90.00°, β = 90.00° and γ = 90.00°. The distinct sites, in fractional coordinates, are K at (0.0000, 0.5000, 0.0000), Cd at (0.0000, 0.0000, 0.5000), Ag at (0.0000, 0.0000, 0.0000) and Hg at (0.5000, 0.5000, 0.5000).


(11)
First-principles (PBE-GGA) data for a relaxed structure of YZnFe2Te, as listed in Alexandria.

The value obtained for the total energy is -5.118 eV/atom. The calculation puts the uncorrected formation energy at 0.4434 eV/atom.

It has space group P4/mmm (No. 123), with a = 4.5534 Å, b = 4.5534 Å, c = 5.3689 Å, α = 90.00°, β = 90.00° and γ = 90.00°. The distinct sites, in fractional coordinates, are Y at (0.0000, 0.0000, 0.0000), Zn at (0.0000, 0.0000, 0.5000), Fe at (0.0000, 0.5000, 0.5000) and Te at (0.5000, 0.5000, 0.0000).


(12)
First-principles (PBE-GGA) data for a relaxed structure of CoOsRh2, as listed in Alexandria.

As for the offset from the most stable computed form: 265 meV/atom. The value obtained for the total energy is -7.916 eV/atom. The value obtained for the formation enthalpy at 0 K is 0.3440 eV per atom.

It has space group Cmm2 (No. 35), with a = 2.7069 Å, b = 4.5768 Å, c = 8.9858 Å, α = 90.00°, β = 90.00° and γ = 90.00°. The distinct sites, in fractional coordinates, are Co at (0.0000, 0.0000, 0.0000), Os at (0.0000, 0.5000, 0.7606), Rh at (0.0000, 0.0000, 0.5029) and Rh at (0.0000, 0.5000, 0.2400).


(13)
First-principles (PBE-GGA) data for a relaxed structure of AgBiSb2, as listed in Alexandria.

The value obtained for the total energy is -3.641 eV/atom. The calculation puts the uncorrected formation energy at 0.1030 eV/atom.

It has space group R-3m (No. 166, hexagonal axes), with a = 4.3481 Å, b = 4.3481 Å, c = 20.5708 Å, α = 90.00°, β = 90.00° and γ = 120.00°. The distinct sites, in fractional coordinates, are Ag at (0.0000, 0.0000, 0.0000), Bi at (0.0000, 0.0000, 0.5000) and Sb at (0.0000, 0.0000, 0.2623).


(14)
First-principles (PBE-GGA) data for a relaxed structure of Ca3ErIn4, as listed in Alexandria.

The value obtained for the total energy is -3.149 eV/atom. The value obtained for the formation enthalpy at 0 K is -0.4591 eV per atom.

It has space group P4/mmm (No. 123), with a = 3.7890 Å, b = 3.7890 Å, c = 15.5160 Å, α = 90.00°, β = 90.00° and γ = 90.00°. The distinct sites, in fractional coordinates, are Ca at (0.0000, 0.0000, 0.0000), Ca at (0.0000, 0.0000, 0.2535), Er at (0.0000, 0.0000, 0.5000), In at (0.5000, 0.5000, 0.1280) and In at (0.5000, 0.5000, 0.3815).


(15)
First-principles (PBE-GGA) data for a relaxed structure of BaErRuO6, as listed in Alexandria.

The value obtained for the total energy is -7.018 eV/atom. The calculation puts the uncorrected formation energy at -1.9609 eV/atom.

It has space group P312 (No. 149), with a = 5.5648 Å, b = 5.5648 Å, c = 5.6612 Å, α = 90.00°, β = 90.00° and γ = 120.00°. The distinct sites, in fractional coordinates, are Ba at (0.0000, 0.0000, 0.0000), Er at (0.3333, 0.6667, 0.5000), Ru at (0.6667, 0.3333, 0.5000) and O at (0.3973, 0.0405, 0.6949).


(16)
First-principles (PBE-GGA) data for a relaxed structure of KBrO2, as listed in Alexandria.

As for the offset from the most stable computed form: 84 meV/atom. The value obtained for the total energy is -3.878 eV/atom. The calculation puts the uncorrected formation energy at -0.7064 eV/atom.

It has space group Pm (No. 6), with a = 4.0729 Å, b = 9.1148 Å, c = 4.6687 Å, α = 90.00°, β = 93.95° and γ = 90.00°. The distinct sites, in fractional coordinates, are K at (0.0000, 0.2139, 0.0000), Br at (0.4250, 0.0000, 0.5388), Br at (0.5758, 0.5000, 0.4492), O at (0.4508, 0.5000, 0.0966), O at (0.5033, 0.0000, 0.9352) and O at (0.8251, 0.3525, 0.4924).


(17)
First-principles (PBE-GGA) data for a relaxed structure of Cu2TeH2, as listed in Alexandria.

As for the offset from the most stable computed form: 17 meV/atom. The value obtained for the total energy is -3.486 eV/atom.

It has space group C2/m (No. 12), with a = 7.7725 Å, b = 4.4881 Å, c = 6.9990 Å, α = 90.00°, β = 111.59° and γ = 90.00°. The distinct sites, in fractional coordinates, are Cu at (0.1665, 0.0000, 0.9997), Te at (0.0000, 0.5000, 0.0000) and H at (0.0401, 0.0000, 0.4822).


(18)
First-principles (PBE-GGA) data for a relaxed structure of Pm2Al4NiPd3, as listed in Alexandria.

The value obtained for the total energy is -5.360 eV/atom. The value obtained for the formation enthalpy at 0 K is -0.7767 eV per atom.

It has space group P-4m2 (No. 115), with a = 4.3652 Å, b = 4.3652 Å, c = 9.9009 Å, α = 90.00°, β = 90.00° and γ = 90.00°. The distinct sites, in fractional coordinates, are Pm at (0.0000, 0.5000, 0.2418), Al at (0.0000, 0.0000, 0.5000), Al at (0.0000, 0.5000, 0.8828), Al at (0.5000, 0.5000, 0.5000), Ni at (0.5000, 0.5000, 0.0000), Pd at (0.0000, 0.0000, 0.0000) and Pd at (0.0000, 0.5000, 0.6320).


(19)
First-principles (PBE-GGA) data for a relaxed structure of AlPdO2, as listed in Alexandria.

The value obtained for the total energy is -6.349 eV/atom. The calculation puts the uncorrected formation energy at -1.6364 eV/atom.

It has space group C2/c (No. 15), with a = 8.8516 Å, b = 9.4766 Å, c = 10.4334 Å, α = 90.00°, β = 90.53° and γ = 90.00°. The distinct sites, in fractional coordinates, are Al at (0.1265, 0.1515, 0.1372), Al at (0.1343, 0.3834, 0.3407), Pd at (0.0980, 0.2468, 0.8943), Pd at (0.1305, 0.0189, 0.4124), O at (0.0000, 0.0625, 0.2500), O at (0.0000, 0.4741, 0.2500), O at (0.0311, 0.2539, 0.4380), O at (0.2363, 0.2591, 0.2438) and O at (0.2467, 0.0093, 0.0821).


(20)
First-principles (PBE-GGA) data for a relaxed structure of Sr2ZrTl, as listed in Alexandria.

As for the offset from the most stable computed form: 169 meV/atom. The value obtained for the total energy is -3.279 eV/atom. The value obtained for the formation enthalpy at 0 K is 0.2909 eV per atom.

It has space group P4/mmm (No. 123), with a = 6.0130 Å, b = 6.0130 Å, c = 3.8043 Å, α = 90.00°, β = 90.00° and γ = 90.00°. The distinct sites, in fractional coordinates, are Sr at (0.0000, 0.5000, 0.0000), Zr at (0.0000, 0.0000, 0.5000) and Tl at (0.5000, 0.5000, 0.5000).


(21)
First-principles (PBE-GGA) data for a relaxed structure of Pm4InIr2, as listed in Alexandria.

As for the offset from the most stable computed form: 89 meV/atom. The value obtained for the total energy is -6.099 eV/atom. The value obtained for the formation enthalpy at 0 K is -0.4613 eV per atom.

It has space group I-42d (No. 122), with a = 9.1447 Å, b = 9.1447 Å, c = 8.9084 Å, α = 90.00°, β = 90.00° and γ = 90.00°. The distinct sites, in fractional coordinates, are Pm at (0.0699, 0.1751, 0.3262), In at (0.0000, 0.0000, 0.0000) and Ir at (0.1370, 0.2500, 0.6250).


(22)
First-principles (PBE-GGA) data for a relaxed structure of CuPdSe, as listed in Alexandria.

As for the offset from the most stable computed form: 69 meV/atom. The value obtained for the total energy is -4.335 eV/atom. The calculation puts the uncorrected formation energy at -0.0774 eV/atom.

It has space group Cm (No. 8), with a = 9.1489 Å, b = 3.8617 Å, c = 5.6187 Å, α = 90.00°, β = 105.04° and γ = 90.00°. The distinct sites, in fractional coordinates, are Cu at (0.0000, 0.0000, 0.0000), Cu at (0.1460, 0.5000, 0.3296), Pd at (0.1917, 0.5000, 0.8730), Pd at (0.3441, 0.0000, 0.6071), Se at (0.0558, 0.0000, 0.5887) and Se at (0.3531, 0.0000, 0.1398).


(23)
First-principles (PBE-GGA) data for a relaxed structure of MgZrBi, as listed in Alexandria.

As for the offset from the most stable computed form: 0 meV/atom. The value obtained for the total energy is -5.033 eV/atom. The value obtained for the formation enthalpy at 0 K is -0.3586 eV per atom.

It has space group P4/nmm (No. 129, origin choice 2), with a = 4.4397 Å, b = 4.4397 Å, c = 7.5750 Å, α = 90.00°, β = 90.00° and γ = 90.00°. The distinct sites, in fractional coordinates, are Mg at (0.2500, 0.2500, 0.1937), Zr at (0.2500, 0.7500, 0.5000) and Bi at (0.2500, 0.2500, 0.7969).


Number 1: spin magnetization 4.04 Bohr magnetons per cell. Number 2: spin magnetization 0.00 Bohr magnetons per cell. Number 3: spin magnetization 1.40 Bohr magnetons per cell. Number 4: spin magnetization 1.07 Bohr magnetons per cell. Number 5: spin magnetization 0.00 Bohr magnetons per cell. Number 6: spin magnetization 0.00 Bohr magnetons per cell. Number 7: spin magnetization 0.00 Bohr magnetons per cell. Number 8: spin magnetization 3.90 Bohr magnetons per cell. Number 9: spin magnetization 0.00 Bohr magnetons per cell. Number 10: spin magnetization 0.00 Bohr magnetons per cell. Number 11: spin magnetization 5.40 Bohr magnetons per cell. Number 12: spin magnetization 4.80 Bohr magnetons per cell. Number 13: spin magnetization 0.00 Bohr magnetons per cell. Number 14: spin magnetization 0.00 Bohr magnetons per cell. Number 15: spin magnetization 1.04 Bohr magnetons per cell. Number 16: spin magnetization 0.00 Bohr magnetons per cell. Number 17: spin magnetization 0.00 Bohr magnetons per cell. Number 18: spin magnetization 0.00 Bohr magnetons per cell. Number 19: spin magnetization 0.00 Bohr magnetons per cell. Number 20: spin magnetization 2.56 Bohr magnetons per cell. Number 21: spin magnetization 0.00 Bohr magnetons per cell. Number 22: spin magnetization 0.00 Bohr magnetons per cell. Number 23: spin magnetization 0.00 Bohr magnetons per cell.